A plane-wave DFT calculation with PBE-GGA was carried out for crystalline SmPa2Ru at its relaxed geometry.

Computed properties:
- formation energy (meV/atom) = -3.2
- magnetic moment (μB per atom) = 0.000
- energy relative to the lowest polymorph listed for this composition (meV/atom) = 49.8
- uncorrected energy (eV/cell) = -33.00
- ρ (Mg/m³) = 11.211
- crystal system = trigonal

a b c (Å): 3.6657 3.6657 9.3251
angles (deg): 78.66 78.66 60.00
Positions (direct):
Sm 0.5000 0.5000 0.5000
Pa 0.7304 0.7304 0.8087
Pa 0.2696 0.2696 0.1913
Ru 0.0000 0.0000 0.0000